No. 1
A plane-wave DFT calculation with PBE was carried out for an optimized crystal structure of Pm4PrNd10.

extended XYZ file:
```
15
Lattice="-5.043 5.043 5.524 5.043 -5.043 5.524 5.043 5.043 -5.524" Properties=species:S:1:pos:R:3 pbc="T T T"
Pm 2.834 0.591 0.000
Pm 4.452 -2.210 5.524
Pm 0.591 7.253 0.000
Pm 2.210 4.452 5.524
Pr 0.000 0.000 5.524
Nd 6.245 2.780 -1.877
Nd 2.780 3.842 -1.877
Nd 5.043 0.000 2.762
Nd 6.245 2.780 1.877
Nd 2.264 1.201 3.647
Nd 2.780 3.842 1.877
Nd -1.201 2.264 3.647
Nd 0.000 5.043 2.762
Nd 2.264 1.201 7.400
Nd -1.201 2.264 7.400
```

## Properties
Energy of formation from the pure elements ... 0.404 eV/atom
Crystal system ... tetragonal
Raw total energy ... -0.16023 hartree per atom
Space group ... I4/m

---

No. 2
A plane-wave DFT calculation with PBE was carried out for an optimized crystal structure of SrCdS.

extended XYZ file:
```
6
Lattice="2.497 1.442 8.748 -2.497 1.442 8.748 0.000 -2.883 8.748" Properties=species:S:1:pos:R:3 pbc="T T T"
Sr 0.000 0.000 2.758
Sr 0.000 0.000 23.485
Cd 0.000 0.000 8.456
Cd 0.000 0.000 17.788
S 0.000 0.000 5.725
S 0.000 0.000 20.518
```

## Properties
Crystal system ... trigonal
Raw total energy ... -0.12587 hartree per atom
Formation energy without anion corrections ... -3.55 eV/f.u.
Space group ... R-3m